Entry 1:
Density functional theory data (PBE-GGA) for a geometry-optimized ZrSiIr structure.

The space group is Pnma (No. 62) and the conventional cell measures 6.5871, 3.9803 and 7.4441 Å, with angles of 90.00, 90.00 and 90.00 degrees. Symmetry generates all atoms from Zr at (0.0181, 0.2500, 0.1811), Si at (0.2211, 0.7500, 0.3813) and Ir at (0.1521, 0.2500, 0.5650).

Its size of the total moment is 0.0 μB/cell. As for the uncorrected formation energy: -107.7 kJ per mole of atoms. The volume is 195.17 Å³/cell.

Entry 2:
Density functional theory data (PBE-GGA) for a geometry-optimized ZrSiIr3 structure.

The space group is Pm-3m (No. 221) and the conventional cell measures 4.8718, 4.8718 and 4.8718 Å, with angles of 90.00, 90.00 and 90.00 degrees. Symmetry generates all atoms from Zr at (0.0000, 0.0000, 0.0000), Si at (0.5000, 0.5000, 0.5000) and Ir at (0.0000, 0.0000, 0.5000).

As for the polymorph energy (0 for the lowest one): 1737 meV per atom. Its size of the total moment is 0.0 μB/cell. As for the uncorrected formation energy: 170.3 kJ per mole of atoms. The volume is 115.63 Å³/cell.